Record 1
{
  "formula": "Dy2Al3InAu4",
  "functional": "PBE",
  "state": "relaxed",
  "lattice_angstrom": [[4.328, 0.000, 0.000], [0.000, 4.328, 0.000], [0.000, 0.000, 11.026]],
  "species": ["Al", "Dy", "Dy", "Al", "Au", "Al", "Au", "Au", "In", "Au"],
  "frac_coords": [[0.000, 0.000, 0.500], [0.000, 0.500, 0.760], [0.500, 0.000, 0.240], [0.500, 0.000, 0.873], [0.500, 0.000, 0.651], [0.000, 0.500, 0.127], [0.000, 0.500, 0.349], [0.500, 0.500, 0.000], [0.500, 0.500, 0.500], [0.000, 0.000, 0.000]],
  "crystal_system": "tetragonal"
}


Record 2
{
  "formula": "Dy2Al4IrAu3",
  "functional": "PBE",
  "state": "relaxed",
  "lattice_angstrom": [[-0.334, -2.895, -3.015], [3.421, -1.927, 1.472], [-6.252, -6.098, 6.547]],
  "species": ["Au", "Al", "Al", "Au", "Al", "Ir", "Au", "Al", "Dy", "Dy"],
  "frac_coords": [[0.000, 0.000, 0.500], [0.500, 0.000, 0.629], [0.500, 0.500, 0.000], [0.000, 0.500, 0.142], [0.000, 0.000, 0.000], [0.500, 0.500, 0.500], [0.500, 0.000, 0.858], [0.000, 0.500, 0.371], [0.000, 0.500, 0.742], [0.500, 0.000, 0.258]],
  "crystal_system": "tetragonal"
}


Record 3
{
  "formula": "LaDyAlAu",
  "functional": "PBE",
  "state": "relaxed",
  "lattice_angstrom": [[5.275, 0.000, 0.000], [2.638, 4.568, 0.000], [2.638, 1.523, 4.307]],
  "species": ["Al", "Dy", "Au", "La"],
  "frac_coords": [[0.500, 0.500, 0.500], [0.750, 0.750, 0.750], [0.000, 0.000, 0.000], [0.250, 0.250, 0.250]],
  "crystal_system": "cubic"
}


Record 4
{
  "formula": "LaDyAl2Au4",
  "functional": "PBE",
  "state": "relaxed",
  "lattice_angstrom": [[4.584, 0.000, 0.000], [2.292, 3.970, 0.000], [2.292, 1.323, 9.470]],
  "species": ["Al", "La", "Al", "Au", "Au", "Au", "Au", "Dy"],
  "frac_coords": [[0.242, 0.242, 0.273], [0.000, 0.000, 0.000], [0.758, 0.758, 0.727], [0.606, 0.606, 0.183], [0.115, 0.115, 0.654], [0.394, 0.394, 0.817], [0.885, 0.885, 0.346], [0.500, 0.500, 0.500]],
  "crystal_system": "trigonal"
}


Values for E_form, meV per atom, ordered as above
-636, -731, -510, -708